Record 1
Below is an optimized crystal structure of MnFeRu, with properties calculated at the PBE level.

abc: 4.6343 4.6343 3.8153
angles: 90.00 90.00 92.02
Last column: nearest neighbours and their distance in Å.
Element x y z (fractional)
Mn1 0.8172 0.1828 0.5000  4 Fe 2.36-2.43, 1 Mn 2.44, 4 Ru 2.54
Mn2 0.1828 0.8172 0.5000  4 Fe 2.36-2.43, 1 Mn 2.44, 4 Ru 2.54
Fe1 0.6861 0.6861 0.5000  4 Mn 2.36-2.43, 1 Fe 2.40, 4 Ru 2.57
Fe2 0.3139 0.3139 0.5000  4 Mn 2.36-2.43, 1 Fe 2.40, 4 Ru 2.57
Ru1 0.5000 0.0000 0.0000  4 Mn 2.54, 4 Fe 2.57
Ru2 0.0000 0.5000 0.0000  4 Mn 2.54, 4 Fe 2.57

- volume (Å³/f.u.) = 40.94
- ΔE_f (meV per atom) = 683
- energy above the most stable polymorph in this dataset (meV/atom) = 580
- D(E_F) (states/eV per cell) = 9.0
- calculated total energy (eV per atom) = -8.286

***

Record 2
Below is an optimized crystal structure of MnFe2Ru, with properties calculated at the PBE level.

abc: 8.4739 8.4739 8.4739
angles: 17.61 17.61 17.61
Last column: nearest neighbours and their distance in Å.
Element x y z (fractional)
Fe1 0.9975 0.9975 0.9975  9 Fe 2.57-2.59, 3 Ru 2.67
Fe2 0.2476 0.2476 0.2476  3 Mn 2.47, 9 Fe 2.57-2.59
Mn1 0.5025 0.5025 0.5025  3 Fe 2.47, 3 Ru 2.57, 6 Mn 2.59
Ru1 0.7524 0.7524 0.7524  3 Mn 2.57, 6 Ru 2.59, 3 Fe 2.67

- volume (Å³/f.u.) = 48.62
- ΔE_f (meV per atom) = 151
- D(E_F) (states/eV per cell) = 4.1
- calculated total energy (eV per atom) = -8.691

***

Record 3
Below is an optimized crystal structure of MnFeRu2, with properties calculated at the PBE level.

abc: 3.6103 3.7837 3.7837
angles: 90.00 90.00 90.00
Last column: nearest neighbours and their distance in Å.
Element x y z (fractional)
Fe1 0.5000 0.5000 0.0000  8 Ru 2.61, 4 Mn 2.68
Mn1 0.5000 0.0000 0.5000  8 Ru 2.61, 4 Fe 2.68
Ru1 0.0000 0.0000 0.0000  4 Mn 2.61, 4 Fe 2.61, 4 Ru 2.68
Ru2 0.0000 0.5000 0.5000  4 Mn 2.61, 4 Fe 2.61, 4 Ru 2.68

- volume (Å³/f.u.) = 51.69
- ΔE_f (meV per atom) = 16
- D(E_F) (states/eV per cell) = 3.8
- calculated total energy (eV per atom) = -9.030